Below is crystalline GaCu5Ni6 at its relaxed geometry, with properties calculated at the PBE level.

Computed properties:
**Symmetry**: Immm, No. 71
**Calculated total energy**: -4.91 eV per atom
**Total magnetic moment**: 0.000 μB/f.u.

Unit cell a=3.6375 b=6.9907 c=6.6928 alpha=121.48 beta=105.77 gamma=90.00
Positions (direct):
Ni1 0.8333 0.5855 0.6667
Ni2 0.8333 0.0811 0.6667
Ni3 0.5000 0.7542 0.0000
Ni4 0.5000 0.2458 0.0000
Ni5 0.1667 0.9189 0.3333
Ni6 0.1667 0.4145 0.3333
Cu1 0.6723 0.1723 0.3447
Cu2 0.3360 0.3360 0.6720
Cu3 0.0000 0.5000 0.0000
Cu4 0.6640 0.6640 0.3280
Cu5 0.3277 0.8277 0.6553
Ga1 0.0000 0.0000 0.0000